Density functional theory data (SCAN) for a PBEsol-optimized structure of RbInPb.

Lattice parameters (Å, degrees): 4.9290 4.9290 8.8162 90.00 90.00 90.00
Last column: nearest neighbours and their distance in Å.
Space group P4/nmm (No. 129, origin choice 2)
Symmetry-distinct sites (fractional):
1 Rb 0.2500 0.2500 0.1618  5 Pb 3.66-3.97, 4 In 3.87
2 In 0.2500 0.7500 0.5000  4 Pb 3.09
3 Pb 0.2500 0.2500 0.7114  4 In 3.09

Results
D(E_F) (states/eV/f.u.): 0.71
ΔH_f (0 K) (eV per atom): -0.322